[1]
Compound: BaBeV
Source: Alexandria
Functional: PBE
Structure: relaxed

Calculated values
Its volume is 78.4 Å³/f.u. As for the energy of formation from the pure elements: 340 meV/atom. The total magnetization comes out at 0.00 μB per atom.

Cell: 4.0587 4.0590 10.8682 Å, 95.18 96.51 116.77°
With the nearest neighbours (Å) after each atom.
Space group P-1 (No. 2)
One atom of each set of equivalent atoms:
1 Ba 0.1609 0.1426 0.3064 (multiplicity 2)  2 Be 3.11
2 Be 0.4516 0.4552 0.9061 (multiplicity 2)  1 Be 2.00
3 V 0.1851 0.8149 0.9999 (multiplicity 2)  3 V 2.31-2.56, 2 Be 2.40


[2]
Compound: KNaOs3
Source: Alexandria
Functional: PBE
Structure: relaxed

Calculated values
Its volume is 105.9 Å³/f.u. As for the energy of formation from the pure elements: 3700 meV/atom. The total magnetization comes out at 0.63 μB per atom.

Cell: 4.7313 4.7313 4.7313 Å, 90.00 90.00 90.00°
With the nearest neighbours (Å) after each atom.
Space group Pm-3m (No. 221)
One atom of each set of equivalent atoms:
1 K 0.0000 0.0000 0.0000 (multiplicity 1)  6 Os 2.37
2 Na 0.5000 0.5000 0.5000 (multiplicity 1)  12 Os 3.35
3 Os 0.0000 0.0000 0.5000 (multiplicity 3)  2 K 2.37


[3]
Compound: TaTi3C
Source: Alexandria
Functional: PBE
Structure: relaxed

Calculated values
Its volume is 75.4 Å³/f.u. As for the energy of formation from the pure elements: -235 meV/atom. The total magnetization comes out at 0.00 μB per atom.

Cell: 4.2250 4.2250 4.2250 Å, 90.00 90.00 90.00°
With the nearest neighbours (Å) after each atom.
Space group Pm-3m (No. 221)
One atom of each set of equivalent atoms:
1 Ta 0.0000 0.0000 0.0000 (multiplicity 1)  12 Ti 2.99
2 Ti 0.0000 0.5000 0.5000 (multiplicity 3)  2 C 2.11
3 C 0.5000 0.5000 0.5000 (multiplicity 1)  6 Ti 2.11


[4]
Compound: SmTm2Th
Source: Alexandria
Functional: PBE
Structure: relaxed

Calculated values
Its volume is 127.5 Å³/f.u. As for the energy of formation from the pure elements: 118 meV/atom. The total magnetization comes out at 0.00 μB per atom.

Cell: 7.9898 7.9898 7.9898 Å, 90.00 90.00 90.00°
With the nearest neighbours (Å) after each atom.
Space group Fm-3m (No. 225)
One atom of each set of equivalent atoms:
1 Sm 0.0000 0.0000 0.0000 (multiplicity 4)  8 Tm 3.46
2 Tm 0.2500 0.2500 0.2500 (multiplicity 8)  4 Th 3.46, 4 Sm 3.46
3 Th 0.0000 0.0000 0.5000 (multiplicity 4)  8 Tm 3.46


[5]
Compound: Pa3Co2As3
Source: Alexandria
Functional: PBE
Structure: relaxed

Calculated values
Its volume is 149.3 Å³/f.u. As for the energy of formation from the pure elements: -772 meV/atom. The total magnetization comes out at 0.00 μB per atom.

Cell: 4.0354 10.4406 14.1713 Å, 90.00 90.00 90.00°
With the nearest neighbours (Å) after each atom.
Space group Cmcm (No. 63)
One atom of each set of equivalent atoms:
1 Pa 0.0000 0.0734 0.1099 (multiplicity 8)  7 As 2.92-3.18, 3 Co 2.93-3.10
2 Pa 0.0000 0.3565 0.2500 (multiplicity 4)  5 As 2.93-3.01, 4 Co 2.97
3 Co 0.0000 0.2237 0.6077 (multiplicity 8)  4 As 2.40-2.60
4 As 0.0000 0.3574 0.7500 (multiplicity 4)  2 Co 2.45
5 As 0.0000 0.3647 0.0435 (multiplicity 8)  3 Co 2.40-2.60


[6]
Compound: LiSnBiS3
Source: Alexandria
Functional: PBE
Structure: relaxed

Calculated values
The value obtained for the uncorrected formation energy is -568 meV per atom. Its volume is 146.1 Å³/f.u. The total magnetization comes out at 0.00 μB per atom.

Cell: 8.5257 3.9999 8.6810 Å, 90.00 99.22 90.00°
With the nearest neighbours (Å) after each atom.
Space group P2_1/m (No. 11)
One atom of each set of equivalent atoms:
1 Li 0.0886 0.2500 0.0775 (multiplicity 2)  4 S 2.42-2.46
2 Sn 0.2658 0.7500 0.7856 (multiplicity 2)  3 S 2.75-2.99
3 Bi 0.3273 0.7500 0.3230 (multiplicity 2)  6 S 2.73-3.03
4 S 0.0116 0.7500 0.2023 (multiplicity 2)  3 Li 2.42-2.44
5 S 0.3209 0.2500 0.5838 (multiplicity 2)  2 Sn 2.75, 3 Bi 2.98-3.03
6 S 0.3804 0.2500 0.1245 (multiplicity 2)  1 Li 2.46, 2 Bi 2.73


[7]
Compound: BeS3I
Source: Alexandria
Functional: PBE
Structure: relaxed

Calculated values
The value obtained for the uncorrected formation energy is 1386 meV per atom. Its volume is 129.5 Å³/f.u. The total magnetization comes out at 0.00 μB per atom.

Cell: 5.0593 5.0593 5.0593 Å, 90.00 90.00 90.00°
With the nearest neighbours (Å) after each atom.
Space group Pm-3m (No. 221)
One atom of each set of equivalent atoms:
1 Be 0.0000 0.0000 0.0000 (multiplicity 1)  12 S 3.58
2 S 0.0000 0.5000 0.5000 (multiplicity 3)  2 I 2.53
3 I 0.5000 0.5000 0.5000 (multiplicity 1)  6 S 2.53


[8]
Compound: ZnIn3
Source: Alexandria
Functional: PBE
Structure: relaxed

Calculated values
Its volume is 98.0 Å³/f.u. As for the energy of formation from the pure elements: 80 meV/atom. The total magnetization comes out at 0.00 μB per atom.

Cell: 6.5682 9.0668 3.2906 Å, 90.00 90.00 90.00°
With the nearest neighbours (Å) after each atom.
Space group Cmmm (No. 65)
One atom of each set of equivalent atoms:
1 Zn 0.0000 0.0000 0.0000 (multiplicity 2)  10 In 3.25-3.28, 2 Zn 3.29
2 In 0.0000 0.5000 0.0000 (multiplicity 2)  10 In 3.25-3.29, 2 Zn 3.28
3 In 0.2500 0.2500 0.5000 (multiplicity 4)  8 In 3.25-3.29, 4 Zn 3.25


[9]
Compound: NbRu
Source: Alexandria
Functional: PBE
Structure: relaxed

Calculated values
Its volume is 32.7 Å³/f.u. As for the energy of formation from the pure elements: 51 meV/atom. The total magnetization comes out at 0.00 μB per atom.

Cell: 2.9067 4.7122 4.7770 Å, 90.00 90.00 90.00°
With the nearest neighbours (Å) after each atom.
Space group Pmmn (No. 59, origin choice 2)
One atom of each set of equivalent atoms:
1 Nb 0.2500 0.2500 0.1221 (multiplicity 2)  6 Ru 2.68-2.84, 2 Nb 2.91
2 Ru 0.2500 0.7500 0.3894 (multiplicity 2)  6 Nb 2.68-2.84, 6 Ru 2.91-2.96


[10]
Compound: Ag2Au2Cl7
Source: Alexandria
Functional: PBE
Structure: relaxed

Calculated values
The value obtained for the uncorrected formation energy is -266 meV per atom. Its volume is 311.4 Å³/f.u. The total magnetization comes out at 0.00 μB per atom.

Cell: 7.6155 11.7987 6.9328 Å, 90.00 91.54 90.00°
With the nearest neighbours (Å) after each atom.
Space group C2/m (No. 12)
One atom of each set of equivalent atoms:
1 Ag 0.0000 0.2022 0.0000 (multiplicity 4)  6 Cl 2.66-2.93
2 Au 0.2347 0.0000 0.6929 (multiplicity 4)  4 Cl 2.38-2.45
3 Cl 0.0000 0.5000 0.5000 (multiplicity 2)  2 Au 2.45
4 Cl 0.0728 0.0000 0.2349 (multiplicity 4)  1 Au 2.41
5 Cl 0.2431 0.3016 0.2518 (multiplicity 8)  1 Au 2.38, 1 Ag 2.66


[11]
Compound: Nb2CdInI
Source: Alexandria
Functional: PBE
Structure: relaxed

Calculated values
The value obtained for the uncorrected formation energy is 1517 meV per atom. Its volume is 151.8 Å³/f.u. The total magnetization comes out at 0.25 μB per atom.

Cell: 5.0906 5.0906 5.8577 Å, 90.00 90.00 90.00°
With the nearest neighbours (Å) after each atom.
Space group P4/mmm (No. 123)
One atom of each set of equivalent atoms:
1 Nb 0.0000 0.5000 0.0000 (multiplicity 2)  2 I 2.55
2 Cd 0.0000 0.0000 0.5000 (multiplicity 1)  4 In 3.60, 8 Nb 3.88
3 In 0.5000 0.5000 0.5000 (multiplicity 1)  2 I 2.93
4 I 0.5000 0.5000 0.0000 (multiplicity 1)  4 Nb 2.55